# Li3Cu4Sb4

Li3Cu4Sb4 after structural relaxation (PBE, Alexandria).

Magnetization (μB per cell): 0.0
Final energy (Ha/atom): -0.136
Raw formation energy (meV per atom): -197
Density of states at the Fermi level (states/eV/cell): 4.82

Unit cell a=4.3605 b=7.0272 c=14.0038 alpha=90.00 beta=90.00 gamma=90.00
Space group Immm (No. 71)
Asymmetric unit:
Li (0.0000, 0.0000, 0.0000) x2
Li (0.0000, 0.5000, 0.1200) x4
Cu (0.0000, 0.3139, 0.3241) x8
Sb (0.0000, 0.0000, 0.2250) x4
Sb (0.0000, 0.2025, 0.5000) x4